Below is crystalline KReHg2 at its relaxed geometry, with properties calculated at the PBE level.

## Properties
- E_tot (eV/atom) = -2.812
- M_tot (μB/atom) = 0.00
- DOS at the Fermi energy (states/eV/cell) = 2.35
- formation energy from the elements (eV per atom) = 0.73
- energy relative to the lowest polymorph listed for this composition (meV per atom) = 14

The structure in CIF format:
```
data_KReHg2
_chemical_formula_sum 'K1 Re1 Hg2'
_cell_length_a 2.8613
_cell_length_b 4.2743
_cell_length_c 7.6642
_cell_angle_alpha 90.00
_cell_angle_beta 90.00
_cell_angle_gamma 90.00
_symmetry_space_group_name_H-M 'P 1'
_symmetry_Int_Tables_number 1
_symmetry_space_group_name_Hall 'P 1'
loop_
_atom_site_label
_atom_site_fract_x
_atom_site_fract_y
_atom_site_fract_z
K1 0.0000 0.0000 0.0000
Re1 0.0000 0.0000 0.5000
Hg1 0.5000 0.5000 0.3099
Hg2 0.5000 0.5000 0.6901
```



Below is crystalline PrSm3Mg6 at its relaxed geometry, with properties calculated at the PBE level.

## Properties
- E_tot (eV/atom) = -2.935
- M_tot (μB/atom) = 0.00
- DOS at the Fermi energy (states/eV/cell) = 19.00
- formation energy from the elements (eV per atom) = -0.08

The structure in CIF format:
```
data_PrSm3Mg6
_chemical_formula_sum 'Pr2 Sm6 Mg12'
_cell_length_a 9.4243
_cell_length_b 5.3519
_cell_length_c 11.4340
_cell_angle_alpha 90.00
_cell_angle_beta 105.93
_cell_angle_gamma 90.00
_symmetry_space_group_name_H-M 'P 1'
_symmetry_Int_Tables_number 1
_symmetry_space_group_name_Hall 'P 1'
loop_
_atom_site_label
_atom_site_fract_x
_atom_site_fract_y
_atom_site_fract_z
Pr1 0.0537 0.2500 0.3925
Pr2 0.9463 0.7500 0.6075
Sm1 0.2452 0.2500 0.9963
Sm2 0.3512 0.7500 0.7954
Sm3 0.4611 0.2500 0.6051
Sm4 0.5389 0.7500 0.3949
Sm5 0.6488 0.2500 0.2046
Sm6 0.7548 0.7500 0.0037
Mg1 0.0485 0.7500 0.9042
Mg2 0.1449 0.2500 0.6996
Mg3 0.1468 0.7500 0.1945
Mg4 0.2458 0.7500 0.4918
Mg5 0.3421 0.2500 0.2923
Mg6 0.4420 0.7500 0.0989
Mg7 0.5580 0.2500 0.9011
Mg8 0.6579 0.7500 0.7077
Mg9 0.7542 0.2500 0.5082
Mg10 0.8532 0.2500 0.8055
Mg11 0.8551 0.7500 0.3004
Mg12 0.9515 0.2500 0.0958
```



Below is crystalline LiAgP2 at its relaxed geometry, with properties calculated at the PBE level.

## Properties
- E_tot (eV/atom) = -3.655
- M_tot (μB/atom) = 0.00
- DOS at the Fermi energy (states/eV/cell) = 2.51
- formation energy from the elements (eV per atom) = 0.24
- energy relative to the lowest polymorph listed for this composition (meV per atom) = 380

The structure in CIF format:
```
data_LiAgP2
_chemical_formula_sum 'Li1 Ag1 P2'
_cell_length_a 4.4830
_cell_length_b 4.4830
_cell_length_c 4.4830
_cell_angle_alpha 60.00
_cell_angle_beta 60.00
_cell_angle_gamma 60.00
_symmetry_space_group_name_H-M 'P 1'
_symmetry_Int_Tables_number 1
_symmetry_space_group_name_Hall 'P 1'
loop_
_atom_site_label
_atom_site_fract_x
_atom_site_fract_y
_atom_site_fract_z
Li1 0.0000 0.0000 0.0000
Ag1 0.7500 0.7500 0.7500
P1 0.2500 0.2500 0.2500
P2 0.5000 0.5000 0.5000
```



Below is crystalline AcSm12Co5 at its relaxed geometry, with properties calculated at the PBE level.

## Properties
- E_tot (eV/atom) = -5.403
- M_tot (μB/atom) = 0.00
- DOS at the Fermi energy (states/eV/cell) = 13.92
- formation energy from the elements (eV per atom) = -0.06

The structure in CIF format:
```
data_AcSm12Co5
_chemical_formula_sum 'Ac1 Sm12 Co5'
_cell_length_a 8.6280
_cell_length_b 8.6280
_cell_length_c 8.6280
_cell_angle_alpha 110.86
_cell_angle_beta 109.94
_cell_angle_gamma 107.62
_symmetry_space_group_name_H-M 'P 1'
_symmetry_Int_Tables_number 1
_symmetry_space_group_name_Hall 'P 1'
loop_
_atom_site_label
_atom_site_fract_x
_atom_site_fract_y
_atom_site_fract_z
Ac1 0.0000 0.0000 0.0000
Sm1 0.1166 0.3081 0.8086
Sm2 0.1884 0.5046 0.3161
Sm3 0.1884 0.8723 0.6839
Sm4 0.3193 0.2033 0.5226
Sm5 0.3193 0.7967 0.1160
Sm6 0.4995 0.3081 0.1914
Sm7 0.5005 0.6919 0.8086
Sm8 0.6807 0.2033 0.8840
Sm9 0.6807 0.7967 0.4774
Sm10 0.8116 0.1277 0.3161
Sm11 0.8116 0.4954 0.6839
Sm12 0.8834 0.6919 0.1914
Co1 0.1189 0.5000 0.6189
Co2 0.3890 0.8890 0.5000
Co3 0.5000 0.5000 0.0000
Co4 0.6110 0.1110 0.5000
Co5 0.8811 0.5000 0.3811
```